[1]
{"formula": "Li2Ga7", "functional": "PBEsol", "state": "optimized geometry", "cell": [[6.0564, -4.1809, 0.0000], [6.0564, 4.1809, 0.0000], [-3.1196, 0.0000, 6.6474]], "species": ["Li", "Li", "Li", "Li", "Ga", "Ga", "Ga", "Ga", "Ga", "Ga", "Ga", "Ga", "Ga", "Ga", "Ga", "Ga", "Ga", "Ga"], "frac_coords": [[0.0000, 0.0000, 0.0000], [0.3648, 0.7683, 0.6319], [0.7643, 0.7643, 0.0646], [0.7683, 0.3648, 0.6319], [0.0573, 0.3721, 0.0327], [0.0656, 0.5818, 0.8084], [0.1802, 0.1802, 0.7016], [0.1815, 0.6942, 0.2245], [0.3692, 0.3692, 0.3469], [0.3721, 0.0573, 0.0327], [0.3881, 0.7078, 0.0075], [0.3930, 0.3930, 0.6931], [0.5818, 0.0656, 0.8084], [0.5863, 0.5863, 0.3315], [0.6942, 0.1815, 0.2245], [0.7078, 0.3881, 0.0075], [0.8013, 0.8013, 0.5917], [0.9619, 0.9619, 0.4435]], "n_ef_per_ev_cell": 0.38, "delta_e_f_ev_per_atom": -0.202, "magmom_total_mub_per_atom": 0.000, "sg": "No. 8"}

[2]
{"formula": "Li3Ga14", "functional": "PBEsol", "state": "optimized geometry", "cell": [[4.1573, 2.4002, 5.5711], [-4.1573, 2.4002, 5.5711], [0.0000, -4.8004, 5.5711]], "species": ["Li", "Li", "Li", "Ga", "Ga", "Ga", "Ga", "Ga", "Ga", "Ga", "Ga", "Ga", "Ga", "Ga", "Ga", "Ga", "Ga"], "frac_coords": [[0.1984, 0.1984, 0.6033], [0.1984, 0.6033, 0.1984], [0.6033, 0.1984, 0.1984], [0.0067, 0.0067, 0.0067], [0.1598, 0.1598, 0.1598], [0.2555, 0.5750, 0.5750], [0.2662, 0.7854, 0.7854], [0.3784, 0.3784, 0.8996], [0.3784, 0.8996, 0.3784], [0.5750, 0.2555, 0.5750], [0.5750, 0.5750, 0.2555], [0.5957, 0.5957, 0.9096], [0.5957, 0.9096, 0.5957], [0.7854, 0.2662, 0.7854], [0.7854, 0.7854, 0.2662], [0.8996, 0.3784, 0.3784], [0.9096, 0.5957, 0.5957]], "n_ef_per_ev_cell": 5.46, "delta_e_f_ev_per_atom": -0.144, "magmom_total_mub_per_atom": 0.000, "sg": "No. 160"}

[3]
{"formula": "LiGa3", "functional": "PBEsol", "state": "optimized geometry", "cell": [[5.5967, 0.0000, 0.0000], [-2.7984, 4.8469, 0.0000], [0.0000, 0.0000, 4.7565]], "species": ["Li", "Li", "Ga", "Ga", "Ga", "Ga", "Ga", "Ga"], "frac_coords": [[0.3333, 0.6667, 0.2500], [0.6667, 0.3333, 0.7500], [0.1661, 0.3322, 0.7500], [0.1661, 0.8339, 0.7500], [0.3322, 0.1661, 0.2500], [0.6678, 0.8339, 0.7500], [0.8339, 0.1661, 0.2500], [0.8339, 0.6678, 0.2500]], "n_ef_per_ev_cell": 2.88, "delta_e_f_ev_per_atom": -0.186, "magmom_total_mub_per_atom": 0.000, "sg": "No. 194"}

[4]
{"formula": "Li3Ga", "functional": "PBEsol", "state": "optimized geometry", "cell": [[-1.9381, 1.9381, 4.1370], [1.9381, -1.9381, 4.1370], [1.9381, 1.9381, -4.1370]], "species": ["Li", "Li", "Li", "Ga"], "frac_coords": [[0.0000, 0.0000, 0.0000], [0.2500, 0.7500, 0.5000], [0.7500, 0.2500, 0.5000], [0.5000, 0.5000, 0.0000]], "polymorph_energy_mev_per_atom": 12, "n_ef_per_ev_cell": 1.58, "delta_e_f_ev_per_atom": -0.201, "magmom_total_mub_per_atom": 0.000, "sg": "No. 139"}

[5]
{"formula": "LiMgGa3", "functional": "PBEsol", "state": "optimized geometry", "cell": [[5.0318, 0.0000, 0.0000], [0.0000, 5.0318, 0.0000], [0.0000, 0.0000, 5.0318]], "species": ["Li", "Mg", "Ga", "Ga", "Ga"], "frac_coords": [[0.0000, 0.0000, 0.0000], [0.5000, 0.5000, 0.5000], [0.0000, 0.5000, 0.5000], [0.5000, 0.0000, 0.5000], [0.5000, 0.5000, 0.0000]], "n_ef_per_ev_cell": 2.53, "delta_e_f_ev_per_atom": 0.424, "magmom_total_mub_per_atom": 0.000, "sg": "No. 221"}

[6]
{"formula": "Li2MgGa", "functional": "PBEsol", "state": "optimized geometry", "cell": [[0.0000, 3.2256, 3.2256], [3.2256, 0.0000, 3.2256], [3.2256, 3.2256, 0.0000]], "species": ["Li", "Li", "Mg", "Ga"], "frac_coords": [[0.0000, 0.0000, 0.0000], [0.2500, 0.2500, 0.2500], [0.7500, 0.7500, 0.7500], [0.5000, 0.5000, 0.5000]], "n_ef_per_ev_cell": 1.16, "delta_e_f_ev_per_atom": -0.243, "magmom_total_mub_per_atom": 0.000, "sg": "No. 216"}